1.
DFT (PBE) results for crystalline YZnFe2 at its relaxed geometry.

Cell: 5.185 5.162 2.901 Å, 82.71 77.49 117.54°
Site moments in Bohr magnetons follow the coordinates.
Sites, in units of the cell vectors:
Zn1 0.500 0.000 0.500  -0.06
Fe1 0.000 0.500 0.500  2.21
Fe2 0.000 0.000 0.000  2.21
Y1 0.500 0.500 0.000  -0.35

* space group: No. 12
* mass density: 6.8 g/cm3
* density of states at the Fermi level: 3.98 states/eV/f.u.
* M_tot: 3.77 μB per formula unit
* E: -5.80 eV per atom
* ΔH_f (0 K): 0.37 eV per atom

2.
DFT (PBE) results for crystalline LiAcCoN2 at its relaxed geometry.

Cell: 4.735 6.127 4.854 Å, 90.00 90.00 112.73°
Site moments in Bohr magnetons follow the coordinates.
Sites, in units of the cell vectors:
Co1 0.750 0.000 0.000  0.36
Co2 0.250 0.000 0.000  0.36
N1 0.613 0.226 0.190  0.01
N2 0.113 0.226 0.810  0.01
N3 0.887 0.774 0.190  0.01
N4 0.387 0.774 0.810  0.01
Li1 0.500 0.000 0.500  0.00
Li2 0.000 0.000 0.500  0.00
Ac1 0.250 0.500 0.241  0.04
Ac2 0.750 0.500 0.759  0.04

* space group: No. 67
* mass density: 8.2 g/cm3
* density of states at the Fermi level: 3.30 states/eV/f.u.
* M_tot: 0.47 μB per formula unit
* E: -6.28 eV per atom
* ΔE_f (raw): -0.329 eV/atom

3.
DFT (PBE) results for crystalline TbScAgRu at its relaxed geometry.

Cell: 3.327 3.327 7.350 Å, 90.00 90.00 90.00°
Sites, in units of the cell vectors:
Tb1 0.500 0.500 0.790
Ru1 0.000 0.000 0.550
Ag1 0.000 0.000 0.094
Sc1 0.500 0.500 0.350

* space group: No. 99
* mass density: 8.4 g/cm3
* density of states at the Fermi level: 2.59 states/eV/f.u.
* M_tot: 0.00 μB per formula unit
* E: -6.21 eV per atom
* ΔH_f (0 K): -0.44 eV per atom

4.
DFT (PBE) results for crystalline TlCuW2 at its relaxed geometry.

Cell: 4.276 2.845 5.772 Å, 78.51 90.00 90.00°
Sites, in units of the cell vectors:
Tl1 0.500 0.607 0.741
Cu1 0.000 0.638 0.473
W1 0.500 0.233 0.256
W2 0.000 0.022 0.029

* space group: No. 6
* mass density: 15.3 g/cm3
* density of states at the Fermi level: 1.45 states/eV/f.u.
* M_tot: 0.00 μB per formula unit
* E: -7.46 eV per atom
* ΔH_f (0 K): 0.63 eV per atom

5.
DFT (PBE) results for crystalline Cs4PuGa3Br12 at its relaxed geometry.

Cell: 9.848 9.848 9.848 Å, 109.47 109.47 109.47°
Site moments in Bohr magnetons follow the coordinates.
Sites, in units of the cell vectors:
Br1 0.000 0.248 0.248  -0.03
Br2 0.752 0.000 0.752  -0.03
Br3 0.000 0.752 0.752  -0.03
Br4 0.500 0.250 0.750  0.01
Br5 0.248 0.000 0.248  -0.03
Br6 0.752 0.752 0.000  -0.03
Br7 0.250 0.500 0.750  0.01
Br8 0.750 0.500 0.250  0.01
Br9 0.248 0.248 0.000  -0.03
Br10 0.500 0.750 0.250  0.01
Br11 0.250 0.750 0.500  0.01
Br12 0.750 0.250 0.500  0.01
Cs1 0.000 0.000 0.500  0.00
Cs2 0.500 0.500 0.500  0.00
Cs3 0.500 0.000 0.000  0.00
Cs4 0.000 0.500 0.000  0.00
Ga1 0.500 0.500 0.000  0.01
Ga2 0.500 0.000 0.500  0.01
Ga3 0.000 0.500 0.500  0.01
Pu1 0.000 0.000 0.000  5.04

* space group: No. 229
* mass density: 4.4 g/cm3
* density of states at the Fermi level: 14.46 states/eV/f.u.
* M_tot: 5.08 μB per formula unit
* E: -3.64 eV per atom
* ΔE_f (raw): -1.294 eV/atom

6.
DFT (PBE) results for crystalline Pm12Tl6Pd at its relaxed geometry.

Cell: 8.493 8.493 8.493 Å, 93.43 93.43 93.43°
Sites, in units of the cell vectors:
Tl1 0.335 0.137 0.733
Tl2 0.267 0.665 0.863
Tl3 0.665 0.863 0.267
Tl4 0.137 0.733 0.335
Tl5 0.733 0.335 0.137
Tl6 0.863 0.267 0.665
Pm1 0.800 0.566 0.453
Pm2 0.434 0.547 0.200
Pm3 0.901 0.674 0.021
Pm4 0.021 0.901 0.674
Pm5 0.547 0.200 0.434
Pm6 0.099 0.326 0.979
Pm7 0.674 0.021 0.901
Pm8 0.200 0.434 0.547
Pm9 0.326 0.979 0.099
Pm10 0.979 0.099 0.326
Pm11 0.566 0.453 0.800
Pm12 0.453 0.800 0.566
Pd1 0.000 0.000 0.000

* space group: No. 148
* mass density: 8.4 g/cm3
* density of states at the Fermi level: 21.66 states/eV/f.u.
* M_tot: 0.00 μB per formula unit
* E: -4.22 eV per atom
* ΔH_f (0 K): -0.20 eV per atom

7.
DFT (PBE) results for crystalline Tm2Fe3Si at its relaxed geometry.

Cell: 5.122 5.122 5.039 Å, 89.99 120.52 120.04°
Site moments in Bohr magnetons follow the coordinates.
Sites, in units of the cell vectors:
Fe1 0.000 0.000 0.500  1.63
Fe2 0.500 0.000 0.500  1.63
Fe3 0.500 0.500 0.500  1.63
Si1 0.000 0.000 0.000  -0.04
Tm1 0.753 0.376 0.129  -0.37
Tm2 0.247 0.624 0.871  -0.37

* space group: No. 166
* mass density: 9.6 g/cm3
* density of states at the Fermi level: 5.18 states/eV/f.u.
* M_tot: 4.13 μB per formula unit
* E: -7.00 eV per atom
* ΔE_f (raw): -0.371 eV/atom

8.
DFT (PBE) results for crystalline BaSCl at its relaxed geometry.

Cell: 4.532 5.897 8.441 Å, 110.45 105.57 90.00°
Sites, in units of the cell vectors:
S1 0.500 0.319 0.000
S2 0.500 0.681 0.000
Cl1 0.782 0.782 0.563
Cl2 0.218 0.218 0.437
Ba1 0.863 0.363 0.727
Ba2 0.137 0.637 0.273

* space group: No. 71
* mass density: 3.4 g/cm3
* density of states at the Fermi level: 0.00 states/eV/f.u.
* M_tot: 0.00 μB per formula unit
* E: -4.60 eV per atom
* ΔE_f (raw): -1.970 eV/atom

9.
DFT (PBE) results for crystalline CuPb2W at its relaxed geometry.

Cell: 3.606 3.604 6.223 Å, 90.00 90.00 90.00°
Sites, in units of the cell vectors:
Cu1 0.500 0.500 0.750
Pb1 0.000 0.000 0.502
Pb2 0.000 0.000 0.998
W1 0.500 0.500 0.250

* space group: No. 123
* mass density: 13.6 g/cm3
* density of states at the Fermi level: 2.10 states/eV/f.u.
* M_tot: 0.00 μB per formula unit
* E: -5.28 eV per atom
* ΔH_f (0 K): 0.84 eV per atom

10.
DFT (PBE) results for crystalline NdSc2Pa at its relaxed geometry.

Cell: 3.347 3.347 9.589 Å, 90.00 90.00 90.00°
Site moments in Bohr magnetons follow the coordinates.
Sites, in units of the cell vectors:
Sc1 0.000 0.000 0.230  0.01
Sc2 0.000 0.000 0.770  0.01
Pa1 0.500 0.500 0.000  0.24
Nd1 0.500 0.500 0.500  0.01

* space group: No. 123
* mass density: 7.2 g/cm3
* density of states at the Fermi level: 7.48 states/eV/f.u.
* M_tot: 0.35 μB per formula unit
* E: -6.62 eV per atom
* ΔH_f (0 K): 0.11 eV per atom

11.
DFT (PBE) results for crystalline CeHoCoIr at its relaxed geometry.

Cell: 4.826 4.826 4.826 Å, 60.00 60.00 60.00°
Site moments in Bohr magnetons follow the coordinates.
Sites, in units of the cell vectors:
Ir1 0.000 0.000 0.000  0.02
Co1 0.500 0.500 0.500  0.20
Ho1 0.750 0.750 0.750  -0.04
Ce1 0.250 0.250 0.250  -0.29

* space group: No. 216
* mass density: 11.6 g/cm3
* density of states at the Fermi level: 4.64 states/eV/f.u.
* M_tot: 0.17 μB per formula unit
* E: -7.06 eV per atom
* ΔH_f (0 K): -0.44 eV per atom

12.
DFT (PBE) results for crystalline HIr2RuW at its relaxed geometry.

Cell: 3.916 3.916 3.972 Å, 90.00 90.00 90.00°
Sites, in units of the cell vectors:
W1 0.500 0.500 0.500
Ru1 0.000 0.000 0.500
Ir1 0.500 0.000 0.000
Ir2 0.000 0.500 0.000
H1 0.000 0.000 0.000

* space group: No. 123
* mass density: 18.3 g/cm3
* density of states at the Fermi level: 2.66 states/eV/f.u.
* M_tot: 0.00 μB per formula unit
* E: -8.73 eV per atom